This record from Alexandria describes crystalline YTcIr2 at its relaxed geometry. The functional is PBE.

Results
The calculation puts the energy of formation at -0.50 eV/f.u. As for the offset from the most stable computed form: 116 meV per atom.

Cell lengths 4.9663, 4.9663, 5.0917 Å; angles 79.35, 79.35, 34.36 degrees
Last column: nearest neighbours and their distance in Å.
Atoms (fractional coordinates):
Ir (0.0124, 0.0124, 0.9830)  2 Tc 2.62, 4 Ir 2.81-2.93, 3 Y 2.82-2.92
Ir (0.7506, 0.7506, 0.7170)  3 Tc 2.63-2.78, 4 Ir 2.81-2.93, 2 Y 2.88
Tc (0.4831, 0.4831, 0.5699)  5 Ir 2.62-2.78, 2 Tc 2.93
Y (0.2539, 0.2539, 0.2300)  7 Ir 2.82-3.00, 2 Y 2.93, 1 Tc 3.03

***

This record from Alexandria describes crystalline Tb2TmNi at its relaxed geometry. The functional is PBE.

Results
The calculation puts the energy of formation at 0.40 eV/f.u. As for the offset from the most stable computed form: 350 meV per atom.

Cell lengths 3.5697, 3.5697, 10.4817 Å; angles 80.20, 80.20, 60.00 degrees
Last column: nearest neighbours and their distance in Å.
Atoms (fractional coordinates):
Ni (0.5000, 0.5000, 0.5000)  6 Tb 2.70
Tm (0.0000, 0.0000, 0.0000)  2 Tb 3.40, 6 Tm 3.57
Tb (0.1103, 0.1103, 0.6692)  3 Ni 2.70
Tb (0.8897, 0.8897, 0.3308)  3 Ni 2.70

***

This record from Alexandria describes crystalline Dy4Zn2Hg at its relaxed geometry. The functional is PBE.

Results
The calculation puts the energy of formation at -1.55 eV/f.u. As for the offset from the most stable computed form: 0 meV per atom.

Cell lengths 5.0678, 5.0678, 8.6531 Å; angles 72.97, 72.97, 60.00 degrees
Last column: nearest neighbours and their distance in Å.
Atoms (fractional coordinates):
Dy (0.8699, 0.8699, 0.3904)  4 Zn 2.96-3.15, 1 Hg 3.18
Dy (0.1301, 0.1301, 0.6096)  4 Zn 2.96-3.15, 1 Hg 3.18
Dy (0.6173, 0.6173, 0.1480)  4 Zn 3.03-3.21, 3 Hg 3.16
Dy (0.3827, 0.3827, 0.8520)  4 Zn 3.03-3.21, 3 Hg 3.16
Zn (0.7488, 0.7488, 0.7537)  8 Dy 2.96-3.21
Zn (0.2512, 0.2512, 0.2463)  8 Dy 2.96-3.21
Hg (0.0000, 0.0000, 0.0000)  8 Dy 3.16-3.18

***

This record from Alexandria describes crystalline La8Zn2Co at its relaxed geometry. The functional is PBE.

Results
The calculation puts the energy of formation at -0.11 eV/f.u. As for the offset from the most stable computed form: 89 meV per atom.

Cell lengths 4.8054, 9.3049, 8.8939 Å; angles 121.55, 105.67, 90.00 degrees
Last column: nearest neighbours and their distance in Å.
Atoms (fractional coordinates):
La (0.6523, 0.8730, 0.3046)  3 Zn 3.25-3.30, 4 La 3.31-3.57, 1 Co 3.40
La (0.3477, 0.5685, 0.6954)  3 Zn 3.25-3.30, 4 La 3.31-3.57, 1 Co 3.40
La (0.1199, 0.1198, 0.2398)  2 Co 2.96
La (0.0000, 0.3453, 0.0000)  1 La 2.88
La (0.8801, 0.8802, 0.7602)  2 Co 2.96
La (0.6523, 0.4315, 0.3046)  3 Zn 3.25-3.30, 4 La 3.31-3.57, 1 Co 3.40
La (0.3477, 0.1270, 0.6954)  3 Zn 3.25-3.30, 4 La 3.31-3.57, 1 Co 3.40
La (0.0000, 0.6547, 0.0000)  1 La 2.88
Zn (0.2059, 0.7058, 0.4117)  10 La 3.25-3.47
Zn (0.7941, 0.2942, 0.5883)  10 La 3.25-3.47
Co (0.5000, 0.0000, 0.0000)  4 La 2.96

***

This record from Alexandria describes crystalline NaPtI2 at its relaxed geometry. The functional is PBE.

Results
For the uncorrected formation energy, the calculation gives -0.04 eV per atom. As for the offset from the most stable computed form: 252 meV per atom.

Cell lengths 4.3164, 4.3164, 9.1292 Å; angles 76.33, 76.33, 60.00 degrees
Last column: nearest neighbours and their distance in Å.
Atoms (fractional coordinates):
I (0.1121, 0.1121, 0.6638)  3 Pt 2.88, 1 Na 2.95
I (0.8879, 0.8879, 0.3362)  3 Pt 2.88, 1 Na 2.95
Na (0.0000, 0.0000, 0.0000)  2 I 2.95
Pt (0.5000, 0.5000, 0.5000)  6 I 2.88

***

This record from Alexandria describes crystalline Nd6InSe5 at its relaxed geometry. The functional is PBE.

Results
For the uncorrected formation energy, the calculation gives -1.60 eV per atom.

Cell lengths 7.4154, 7.4395, 7.4214 Å; angles 59.92, 80.44, 70.66 degrees
Last column: nearest neighbours and their distance in Å.
Atoms (fractional coordinates):
Nd (0.7457, 0.0840, 0.3392)  5 Se 3.01-3.04, 1 In 3.08
Nd (0.2543, 0.5769, 0.3392)  5 Se 3.01-3.04, 1 In 3.08
Nd (0.2509, 0.2557, 0.0000)  5 Se 2.99-3.02, 1 In 3.07
Nd (0.7491, 0.7443, 0.0000)  5 Se 2.99-3.02, 1 In 3.07
Nd (0.7457, 0.4231, 0.6609)  5 Se 3.01-3.04, 1 In 3.08
Nd (0.2543, 0.9160, 0.6609)  5 Se 3.01-3.04, 1 In 3.08
Se (0.5000, 0.1641, 0.6718)  6 Nd 3.01-3.03
Se (0.0000, 0.3329, 0.3343)  6 Nd 3.02-3.03
Se (0.5000, 0.5000, 0.0000)  6 Nd 2.99-3.04
Se (0.0000, 0.6671, 0.6657)  6 Nd 3.02-3.03
Se (0.5000, 0.8359, 0.3282)  6 Nd 3.01-3.03
In (0.0000, 0.0000, 0.0000)  6 Nd 3.07-3.08